(1)
## Cd4PIr (GGA-PBE)

Data for a relaxed Cd4PIr crystal.

Values from the calculation:
The calculation puts the volume at 119 Å³/cell. The calculation puts the size of the total moment at 0.0 μB per formula unit. The value obtained for the raw total energy is -2.404 eV/atom.

```
Cd4PIr
1.0
0.000 3.900 3.900
3.900 0.000 3.900
3.900 3.900 0.000
Cd Ir P
4 1 1
Cartesian
4.872 2.927 4.872
2.927 4.872 4.872
4.872 4.872 2.927
2.927 2.927 2.927
5.849 5.849 5.849
0.000 0.000 0.000
```

---

(2)
## DyTh4Sc3 (GGA-PBE)

Data for a relaxed DyTh4Sc3 crystal.

Values from the calculation:
The calculation puts the volume at 234 Å³/cell. The calculation puts the size of the total moment at 0.0 μB per formula unit. The value obtained for the raw total energy is -6.614 eV/atom.

```
DyTh4Sc3
1.0
-1.550 1.199 5.686
1.884 -4.391 3.705
5.779 4.935 -3.774
Dy Sc Th
1 3 4
Cartesian
-0.775 0.600 2.843
1.449 0.817 0.223
4.663 0.926 5.393
0.942 -2.196 1.852
1.675 -0.749 4.931
3.872 -0.548 2.305
2.241 2.291 3.312
4.438 2.492 0.685
```

---

(3)
## Ce4Co2Bi (GGA-PBE)

Data for a relaxed Ce4Co2Bi crystal.

Values from the calculation:
The calculation puts the volume at 341 Å³/cell. The calculation puts the size of the total moment at 0.0 μB per formula unit. The value obtained for the raw total energy is -6.242 eV/atom.

```
Ce4Co2Bi
1.0
0.411 -2.130 -7.333
-2.460 -5.287 4.947
-5.103 5.697 0.273
Co Ce Bi
4 8 2
Cartesian
-5.628 2.072 1.780
-3.744 -4.094 -1.053
-3.920 0.528 -1.653
-1.013 -1.942 -3.299
-4.069 2.775 -0.875
-1.071 0.425 -2.941
-2.442 -2.172 -0.492
-4.003 1.757 -4.565
-1.538 -4.273 -3.261
-6.254 0.229 0.399
-2.232 -1.008 -6.016
-4.126 -1.461 -2.984
-5.103 5.696 0.273
-4.293 -1.650 2.013
```

---

(4)
## TlWBr (GGA-PBE)

Data for a relaxed TlWBr crystal.

Values from the calculation:
The calculation puts the volume at 70 Å³/cell. The calculation puts the size of the total moment at 0.0 μB per formula unit. The uncorrected formation energy comes out at 0.63 eV per atom. As for the offset from the most stable computed form: 0.000 eV/atom.

```
TlWBr
1.0
-1.834 1.501 -2.099
-1.304 -1.913 2.160
-0.717 6.216 5.072
W Br Tl
1 1 1
Cartesian
-2.159 4.711 2.868
-0.664 5.756 4.696
-1.749 1.554 2.640
```

---

(5)
## BaPm3Rh (GGA-PBE)

Data for a relaxed BaPm3Rh crystal.

Values from the calculation:
The calculation puts the volume at 185 Å³/cell. The calculation puts the size of the total moment at 0.0 μB per formula unit. The value obtained for the raw total energy is -4.902 eV/atom.

```
BaPm3Rh
1.0
-5.062 -2.591 0.263
2.595 -5.067 0.026
0.222 0.143 5.687
Ba Pm Rh
1 3 1
Cartesian
-1.122 -3.758 2.988
-2.531 -1.296 0.132
0.111 0.072 2.844
1.298 -2.534 0.013
0.000 0.000 0.000
```

---

(6)
## Ac3TlSn3 (GGA-PBE)

Data for a relaxed Ac3TlSn3 crystal.

Values from the calculation:
The calculation puts the volume at 481 Å³/cell. The calculation puts the size of the total moment at 0.0 μB per formula unit. As for the offset from the most stable computed form: 0.000 eV/atom.

```
Ac3TlSn3
1.0
-3.847 2.985 -0.025
-2.781 0.335 -6.124
-11.612 -10.981 1.542
Ac Sn Tl
6 6 2
Cartesian
-8.056 -2.468 -3.481
-13.049 -8.877 -0.343
-10.185 -5.193 -1.126
-5.192 1.216 -4.264
-4.319 -1.605 -1.136
-13.921 -6.056 -3.472
-6.636 -4.590 -1.039
-8.583 0.815 -4.531
-4.752 1.812 -0.885
-9.658 -8.476 -0.076
-11.605 -3.072 -3.569
-13.489 -9.473 -3.723
-10.635 -5.802 -4.655
-7.606 -1.859 0.047
```

---

(7)
## Li2Cd2Sn3 (GGA-PBE)

Data for a relaxed Li2Cd2Sn3 crystal.

Values from the calculation:
The calculation puts the volume at 166 Å³/cell. The calculation puts the size of the total moment at 0.0 μB per formula unit. The value obtained for the raw total energy is -2.628 eV/atom.

```
Li2Cd2Sn3
1.0
-3.524 2.862 -7.101
0.989 1.294 -8.269
-2.681 -1.940 -7.751
Cd Sn Li
2 3 2
Cartesian
-3.747 1.591 -16.607
-1.470 0.624 -6.514
0.000 0.000 0.000
-0.734 0.312 -3.255
-4.482 1.903 -19.865
-2.216 0.941 -9.821
-3.001 1.274 -13.300
```

---

(8)
## Na2Cd3Ag5 (GGA-PBE)

Data for a relaxed Na2Cd3Ag5 crystal.

Values from the calculation:
The calculation puts the volume at 414 Å³/cell. The calculation puts the size of the total moment at 0.0 μB per formula unit. The value obtained for the raw total energy is -2.006 eV/atom.

```
Na2Cd3Ag5
1.0
5.855 0.014 -0.239
-0.458 8.192 -2.624
0.020 0.042 8.614
Ag Cd Na
10 6 4
Cartesian
2.587 6.468 3.987
0.322 7.983 -0.239
-0.307 5.898 4.883
4.157 4.390 2.453
5.095 0.265 5.989
3.585 2.281 7.515
5.724 2.351 0.867
1.260 3.858 3.297
2.830 1.780 1.764
1.832 5.968 -1.765
3.950 7.910 -2.400
1.467 0.339 8.151
3.407 4.014 5.282
0.340 6.396 2.107
2.010 4.235 0.468
5.077 1.852 3.644
4.870 5.130 -0.749
3.237 7.171 0.801
2.180 1.077 4.950
0.547 3.118 6.499
```

---

Which value of size of the total moment does entry 3 give?
0.0 μB per formula unit

---

What is the size of the total moment in the seventh record?
0.0 μB per formula unit